[1]
Zn2IrCl: relaxed, PBE.

Values from the calculation:
Polymorph energy (0 for the lowest one) (kJ/mol of atoms): 64.31
Final energy (eV per cell): -11.65
Magnetic moment (μB per formula unit): 0.000
Raw formation energy (eV/atom): 0.40

a b c (Å): 2.894 4.449 4.846
angles (deg): 90.00 90.00 90.00
Atoms (fractional coordinates):
Zn: 0.000 0.000 0.000
Zn: 0.500 0.500 0.000
Ir: 0.000 0.500 0.500
Cl: 0.500 0.000 0.500

=====

[2]
La3DyHo3Te8: relaxed, PBE.

Values from the calculation:
Final energy (eV per cell): -80.18
Magnetic moment (μB per formula unit): 0.000
Raw formation energy (eV/atom): -1.46

a b c (Å): 8.826 8.827 8.933
angles (deg): 119.61 90.01 120.00
Atoms (fractional coordinates):
Te: 0.251 0.502 0.739
Te: 0.737 0.988 0.739
Te: 0.749 0.012 0.261
Te: 0.749 0.498 0.261
Te: 0.744 0.488 0.733
Te: 0.256 0.512 0.267
Te: 0.263 0.012 0.261
Te: 0.251 0.988 0.739
Ho: 0.500 0.500 0.500
Ho: 0.500 0.000 0.500
Ho: 0.000 0.500 0.500
La: 0.000 0.000 0.000
La: 0.000 0.500 0.000
La: 0.500 0.500 0.000
Dy: 0.000 0.000 0.500

=====

[3]
SmThZnHg: relaxed, PBE.

Values from the calculation:
ΔE_f (eV per formula unit): -0.97
Final energy (eV per cell): -14.69
Magnetic moment (μB per formula unit): 0.003

a b c (Å): 5.298 5.298 5.298
angles (deg): 60.00 60.00 60.00
Atoms (fractional coordinates):
Hg: 0.500 0.500 0.500
Zn: 0.000 0.000 0.000
Sm: 0.750 0.750 0.750
Th: 0.250 0.250 0.250

=====

[4]
PmErTh2P4: relaxed, PBE.

Values from the calculation:
ΔE_f (eV per formula unit): -12.57
Final energy (eV per cell): -58.36
Magnetic moment (μB per formula unit): 0.000

a b c (Å): 4.109 7.069 7.119
angles (deg): 70.33 90.00 90.00
Atoms (fractional coordinates):
P: 0.000 0.252 0.254
P: 0.000 0.748 0.746
P: 0.500 0.256 0.744
P: 0.500 0.744 0.256
Th: 0.500 0.000 0.500
Th: 0.000 0.000 0.000
Er: 0.000 0.500 0.500
Pm: 0.500 0.500 0.000

=====

[5]
Sr2ScPt2: relaxed, PBE.

Values from the calculation:
ΔE_f (eV per formula unit): -3.72
Final energy (eV per cell): -50.99
Magnetic moment (μB per formula unit): 0.000

a b c (Å): 7.370 7.370 4.740
angles (deg): 90.00 90.00 90.00
Atoms (fractional coordinates):
Pt: 0.635 0.135 0.000
Pt: 0.135 0.365 0.000
Pt: 0.865 0.635 0.000
Pt: 0.365 0.865 0.000
Sr: 0.670 0.830 0.500
Sr: 0.830 0.330 0.500
Sr: 0.330 0.170 0.500
Sr: 0.170 0.670 0.500
Sc: 0.000 0.000 0.000
Sc: 0.500 0.500 0.000

=====

[6]
Tb2PmRh: relaxed, PBE.

Values from the calculation:
ΔE_f (eV per formula unit): -1.38
Polymorph energy (0 for the lowest one) (kJ/mol of atoms): 14.24
Final energy (eV per cell): -22.74
Magnetic moment (μB per formula unit): 0.004

a b c (Å): 3.880 3.880 9.436
angles (deg): 78.14 78.14 60.00
Atoms (fractional coordinates):
Tb: 0.275 0.275 0.176
Tb: 0.058 0.058 0.826
Pm: 0.501 0.501 0.496
Rh: 0.666 0.666 0.002

=====

[7]
CaTm2Rh9: relaxed, PBE.

Values from the calculation:
ΔE_f (eV per formula unit): -5.86
Final energy (eV per cell): -82.96
Magnetic moment (μB per formula unit): 0.001

a b c (Å): 5.261 5.261 9.216
angles (deg): 73.42 73.42 60.00
Atoms (fractional coordinates):
Tm: 0.862 0.862 0.415
Tm: 0.138 0.138 0.585
Rh: 0.667 0.667 0.999
Rh: 0.082 0.584 0.750
Rh: 0.500 0.500 0.500
Rh: 0.333 0.333 0.001
Rh: 0.416 0.918 0.250
Rh: 0.918 0.416 0.250
Rh: 0.584 0.082 0.750
Rh: 0.584 0.584 0.750
Rh: 0.416 0.416 0.250
Ca: 0.000 0.000 0.000

=====

[8]
ReSnN3: relaxed, PBE.

Values from the calculation:
Final energy (eV per cell): -30.23
Magnetic moment (μB per formula unit): 2.000
Raw formation energy (eV/atom): 2.24

a b c (Å): 4.052 4.052 4.052
angles (deg): 90.00 90.00 90.00
Last column: magnetic moment on the atom in μB.
Atoms (fractional coordinates):
N: 0.000 0.500 0.000  -0.47
N: 0.500 0.000 0.000  -0.37
N: 0.000 0.000 0.500  -0.30
Sn: 0.000 0.000 0.000  0.01
Re: 0.500 0.500 0.500  3.07

=====

[9]
Sn5Pt: relaxed, PBE.

Values from the calculation:
ΔE_f (eV per formula unit): -0.90
Final energy (eV per cell): -53.91
Magnetic moment (μB per formula unit): 0.000

a b c (Å): 6.632 6.632 9.029
angles (deg): 103.80 102.02 113.07
Atoms (fractional coordinates):
Sn: 0.050 0.721 0.449
Sn: 0.950 0.279 0.551
Sn: 0.820 0.229 0.171
Sn: 0.180 0.771 0.829
Sn: 0.557 0.649 0.329
Sn: 0.228 0.399 0.949
Sn: 0.443 0.351 0.671
Sn: 0.772 0.601 0.051
Sn: 0.384 0.134 0.250
Sn: 0.616 0.866 0.750
Pt: 0.000 0.000 0.000
Pt: 0.500 0.000 0.500

=====

[10]
SbTeH: relaxed, PBE.

Values from the calculation:
Polymorph energy (0 for the lowest one) (kJ/mol of atoms): 0.00
Final energy (eV per cell): -10.27
Magnetic moment (μB per formula unit): 0.000

a b c (Å): 4.444 4.248 4.830
angles (deg): 90.00 96.06 90.00
Atoms (fractional coordinates):
Sb: 0.816 0.500 0.275
Te: 0.401 0.000 0.374
H: 0.744 0.500 0.912

=====

[11]
SrAcRe2N5: relaxed, PBE.

Values from the calculation:
Final energy (eV per cell): -77.93
Magnetic moment (μB per formula unit): 0.000
Raw formation energy (eV/atom): -0.62

a b c (Å): 3.996 3.996 7.734
angles (deg): 90.00 90.00 90.00
Atoms (fractional coordinates):
Ac: 0.000 0.000 0.500
Re: 0.500 0.500 0.749
Re: 0.500 0.500 0.251
N: 0.500 0.500 0.500
N: 0.500 0.000 0.234
N: 0.000 0.500 0.766
N: 0.000 0.500 0.234
N: 0.500 0.000 0.766
Sr: 0.000 0.000 0.000

=====

[12]
HPd3Pt: relaxed, PBE.

Values from the calculation:
Polymorph energy (0 for the lowest one) (kJ/mol of atoms): 19.66
Final energy (eV per cell): -48.27
Magnetic moment (μB per formula unit): 0.000

a b c (Å): 5.261 5.261 6.214
angles (deg): 64.96 64.96 90.00
Atoms (fractional coordinates):
Pt: 0.880 0.380 0.240
Pt: 0.620 0.120 0.760
H: 0.250 0.750 0.500
H: 0.000 0.000 0.000
Pd: 0.124 0.374 0.752
Pd: 0.368 0.368 0.263
Pd: 0.126 0.876 0.248
Pd: 0.626 0.876 0.248
Pd: 0.632 0.632 0.737
Pd: 0.124 0.874 0.752